No. 1
Material: Co3ReMo
Method: DFT, PBE-GGA
State: optimized geometry

Output
Total magnetic moment   3.58 μB/f.u.
Calculated volume   83.88 Å³/cell
DFT formation energy   1.678 eV/atom
ΔE to the lowest computed polymorph   0 meV per atom
Symmetry   Pm-3m (221)
Crystal system   cubic

Unit cell a=4.3775 b=4.3775 c=4.3775 alpha=90.00 beta=90.00 gamma=90.00
With the nearest neighbours (Å) after each atom.
Atoms (fractional coordinates):
Co 0.0000 0.0000 0.5000  2 Re 2.19
Co 0.0000 0.5000 0.0000  2 Re 2.19
Co 0.5000 0.0000 0.0000  2 Re 2.19
Re 0.0000 0.0000 0.0000  6 Co 2.19
Mo 0.5000 0.5000 0.5000  12 Co 3.10

No. 2
Material: LaZrW2
Method: DFT, PBE-GGA
State: optimized geometry

Output
Total magnetic moment   0.00 μB/f.u.
Calculated volume   176.10 Å³/cell
DFT formation energy   0.471 eV/atom
ΔE to the lowest computed polymorph   222 meV per atom
Symmetry   Cm (8)
Crystal system   monoclinic

Unit cell a=11.2084 b=3.4040 c=5.0677 alpha=90.00 beta=114.39 gamma=90.00
With the nearest neighbours (Å) after each atom.
Atoms (fractional coordinates):
La 0.0000 0.0000 0.0000  6 W 3.09-3.22, 3 Zr 3.25-3.34, 2 La 3.40
La 0.5000 0.5000 0.0000  6 W 3.09-3.22, 3 Zr 3.25-3.34, 2 La 3.40
Zr 0.2286 0.0000 0.7386  7 W 3.02-3.35, 3 La 3.25-3.34
Zr 0.7286 0.5000 0.7386  7 W 3.02-3.35, 3 La 3.25-3.34
W 0.2669 0.5000 0.2875  2 W 2.53
W 0.4505 0.0000 0.4552  2 W 2.53
W 0.7669 0.0000 0.2875  2 W 2.53
W 0.9505 0.5000 0.4552  2 W 2.53

No. 3
Material: PrCd2Ge
Method: DFT, PBE-GGA
State: optimized geometry

Output
Total magnetic moment   0.00 μB/f.u.
Calculated volume   313.74 Å³/cell
DFT formation energy   0.257 eV/atom
ΔE to the lowest computed polymorph   658 meV per atom
Symmetry   R-3m (166)
Crystal system   trigonal

Unit cell a=3.2843 b=3.2843 c=33.5845 alpha=90.00 beta=90.00 gamma=120.00
With the nearest neighbours (Å) after each atom.
Atoms (fractional coordinates):
Pr 0.0000 0.0000 0.0000  2 Cd 3.22, 6 Pr 3.28
Pr 0.3333 0.6667 0.6667  2 Cd 3.22, 6 Pr 3.28
Pr 0.6667 0.3333 0.3333  2 Cd 3.22, 6 Pr 3.28
Cd 0.0000 0.0000 0.0960  3 Ge 3.04, 1 Pr 3.22, 6 Cd 3.28
Cd 0.0000 0.0000 0.9040  3 Ge 3.04, 1 Pr 3.22, 6 Cd 3.28
Cd 0.3333 0.6667 0.5707  3 Ge 3.04, 1 Pr 3.22, 6 Cd 3.28
Cd 0.3333 0.6667 0.7627  3 Ge 3.04, 1 Pr 3.22, 6 Cd 3.28
Cd 0.6667 0.3333 0.2373  3 Ge 3.04, 1 Pr 3.22, 6 Cd 3.28
Cd 0.6667 0.3333 0.4293  3 Ge 3.04, 1 Pr 3.22, 6 Cd 3.28
Ge 0.0000 0.0000 0.5000  6 Cd 3.04, 6 Ge 3.28
Ge 0.3333 0.6667 0.1667  6 Cd 3.04, 6 Ge 3.28
Ge 0.6667 0.3333 0.8333  6 Cd 3.04, 6 Ge 3.28

No. 4
Material: KSc2Al
Method: DFT, PBE-GGA
State: optimized geometry

Output
Total magnetic moment   0.00 μB/f.u.
Calculated volume   206.05 Å³/cell
DFT formation energy   0.464 eV/atom
Symmetry   I-4m2 (119)
Crystal system   tetragonal

Unit cell a=4.6763 b=4.6763 c=9.4226 alpha=90.00 beta=90.00 gamma=90.00
With the nearest neighbours (Å) after each atom.
Atoms (fractional coordinates):
K 0.0000 0.0000 0.0000  8 Sc 3.31-3.32, 4 Al 3.32
K 0.5000 0.5000 0.5000  8 Sc 3.31-3.32, 4 Al 3.32
Sc 0.0000 0.0000 0.5000  4 K 3.31, 4 Al 3.32, 4 Sc 3.32
Sc 0.0000 0.5000 0.7500  4 Al 3.31, 4 Sc 3.32, 4 K 3.32
Sc 0.5000 0.0000 0.2500  4 Al 3.31, 4 K 3.32, 4 Sc 3.32
Sc 0.5000 0.5000 0.0000  4 K 3.31, 4 Al 3.32, 4 Sc 3.32
Al 0.0000 0.5000 0.2500  8 Sc 3.31-3.32, 4 K 3.32
Al 0.5000 0.0000 0.7500  8 Sc 3.31-3.32, 4 K 3.32

No. 5
Material: Cu2ReRu
Method: DFT, PBE-GGA
State: optimized geometry

Output
Total magnetic moment   0.00 μB/f.u.
Calculated volume   104.74 Å³/cell
DFT formation energy   0.280 eV/atom
ΔE to the lowest computed polymorph   148 meV per atom
Symmetry   Imm2 (44)
Crystal system   orthorhombic

Unit cell a=2.9759 b=4.2519 c=8.2778 alpha=90.00 beta=90.00 gamma=90.00
With the nearest neighbours (Å) after each atom.
Atoms (fractional coordinates):
Cu 0.0000 0.0000 0.0000  2 Cu 2.39, 2 Re 2.59, 4 Ru 2.60
Cu 0.0000 0.5000 0.2740  2 Cu 2.39, 2 Ru 2.59, 4 Re 2.60
Cu 0.5000 0.0000 0.7740  2 Cu 2.39, 2 Ru 2.59, 4 Re 2.60
Cu 0.5000 0.5000 0.5000  2 Cu 2.39, 2 Re 2.59, 4 Ru 2.60
Re 0.0000 0.5000 0.7562  6 Cu 2.59-2.60, 2 Ru 2.62
Re 0.5000 0.0000 0.2562  6 Cu 2.59-2.60, 2 Ru 2.62
Ru 0.0000 0.0000 0.5173  6 Cu 2.59-2.60, 4 Re 2.62-2.90
Ru 0.5000 0.5000 0.0173  6 Cu 2.59-2.60, 4 Re 2.62-2.90

No. 6
Material: LaPW2
Method: DFT, PBE-GGA
State: optimized geometry

Output
Total magnetic moment   0.00 μB/f.u.
Calculated volume   164.78 Å³/cell
DFT formation energy   0.214 eV/atom
ΔE to the lowest computed polymorph   282 meV per atom
Symmetry   Cmmm (65)
Crystal system   orthorhombic

Unit cell a=5.5755 b=6.5860 c=4.4874 alpha=90.00 beta=90.00 gamma=90.00
With the nearest neighbours (Å) after each atom.
Atoms (fractional coordinates):
La 0.0000 0.0000 0.0000  2 P 2.79, 4 W 3.08
La 0.5000 0.5000 0.0000  2 P 2.79, 4 W 3.08
P 0.0000 0.5000 0.0000  4 W 2.54, 2 La 2.79
P 0.5000 0.0000 0.0000  4 W 2.54, 2 La 2.79
W 0.0000 0.3194 0.5000  1 W 2.38, 2 P 2.54
W 0.0000 0.6806 0.5000  1 W 2.38, 2 P 2.54
W 0.5000 0.1806 0.5000  1 W 2.38, 2 P 2.54
W 0.5000 0.8194 0.5000  1 W 2.38, 2 P 2.54

Question: Look up the total magnetic moment of the fifth one.
Answer: 0.00 μB/f.u.

Question: calculated volume of number 2 (LaZrW2)?
Answer: 176.10 Å³/cell